! ScVPb2O6 | Alexandria | PBE with a Hubbard U | relaxed; values from VASP
! E_tot = -70.5 eV/cell
! SG = Fm-3m
&SYSTEM
  ibrav = 0, nat = 10, ntyp = 4
/
ATOMIC_SPECIES
Sc 44.96 Sc.upf
V 50.94 V.upf
Pb 207.20 Pb.upf
O 16.00 O.upf
ATOMIC_POSITIONS angstrom
Sc 0.000 0.000 0.000
V 4.008 4.008 4.008
Pb 2.004 2.004 2.004
Pb 6.012 6.012 6.012
O 4.008 4.008 2.102
O 4.008 2.102 4.008
O 5.914 4.008 4.008
O 2.102 4.008 4.008
O 4.008 5.914 4.008
O 4.008 4.008 5.914
CELL_PARAMETERS angstrom
0.000 4.008 4.008
4.008 0.000 4.008
4.008 4.008 0.000

=====

! ScPbWO6 | Alexandria | PBE with a Hubbard U | relaxed; values from VASP
! E_tot = -132.2 eV/cell
! SG = P-31c
&SYSTEM
  ibrav = 0, nat = 18, ntyp = 4
/
ATOMIC_SPECIES
Sc 44.96 Sc.upf
Pb 207.20 Pb.upf
W 183.84 W.upf
O 16.00 O.upf
ATOMIC_POSITIONS angstrom
Sc 0.000 3.123 2.458
Sc 2.705 1.562 7.375
Pb 0.000 0.000 0.000
Pb 0.000 0.000 4.917
W 0.000 3.123 7.375
W 2.705 1.562 2.458
O -0.903 1.765 6.298
O -1.628 3.020 8.452
O 0.903 1.765 8.452
O -0.725 4.585 6.298
O 1.980 0.100 1.381
O 1.077 1.665 3.535
O 1.628 3.020 6.298
O 0.725 4.585 8.452
O 3.430 0.100 3.535
O 1.802 2.920 1.381
O 4.333 1.665 1.381
O 3.609 2.920 3.535
CELL_PARAMETERS angstrom
5.410 0.000 0.000
-2.705 4.685 0.000
0.000 0.000 9.833

=====

! ScPbW2O8 | Alexandria | PBE with a Hubbard U | relaxed; values from VASP
! E_tot = -87.8 eV/cell
! SG = P-3
&SYSTEM
  ibrav = 0, nat = 12, ntyp = 4
/
ATOMIC_SPECIES
Sc 44.96 Sc.upf
Pb 207.20 Pb.upf
W 183.84 W.upf
O 16.00 O.upf
ATOMIC_POSITIONS angstrom
Sc 0.000 0.000 0.000
Pb 0.000 0.000 4.512
W 0.000 3.096 1.909
W 2.681 1.548 7.115
O -0.672 1.531 1.276
O -1.019 4.460 1.276
O 0.990 1.348 7.748
O 0.000 3.096 3.726
O 2.681 1.548 5.298
O 1.691 3.296 1.276
O 3.700 0.184 7.748
O 3.353 3.112 7.748
CELL_PARAMETERS angstrom
5.362 0.000 0.000
-2.681 4.644 0.000
0.000 0.000 9.024

=====

Question: Which value of E_tot does entry 2 give?
Answer: -132.2 eV/cell

=====

Question: The highest E_tot belongs to which entry?
Answer: ScVPb2O6

=====

Question: What is the E_tot in the first record?
Answer: -70.5 eV/cell

=====

Copy entry 2 word for word.
! ScPbWO6 | Alexandria | PBE with a Hubbard U | relaxed; values from VASP
! E_tot = -132.2 eV/cell
! SG = P-31c
&SYSTEM
  ibrav = 0, nat = 18, ntyp = 4
/
ATOMIC_SPECIES
Sc 44.96 Sc.upf
Pb 207.20 Pb.upf
W 183.84 W.upf
O 16.00 O.upf
ATOMIC_POSITIONS angstrom
Sc 0.000 3.123 2.458
Sc 2.705 1.562 7.375
Pb 0.000 0.000 0.000
Pb 0.000 0.000 4.917
W 0.000 3.123 7.375
W 2.705 1.562 2.458
O -0.903 1.765 6.298
O -1.628 3.020 8.452
O 0.903 1.765 8.452
O -0.725 4.585 6.298
O 1.980 0.100 1.381
O 1.077 1.665 3.535
O 1.628 3.020 6.298
O 0.725 4.585 8.452
O 3.430 0.100 3.535
O 1.802 2.920 1.381
O 4.333 1.665 1.381
O 3.609 2.920 3.535
CELL_PARAMETERS angstrom
5.410 0.000 0.000
-2.705 4.685 0.000
0.000 0.000 9.833